1.
DFT (PBE) results for a geometry-optimized LiLuGaAu structure.

Geometry as CIF:
```
data_LiLuGaAu
_chemical_formula_sum 'Li4 Lu4 Ga4 Au4'
_cell_length_a 6.565
_cell_length_b 6.565
_cell_length_c 6.565
_cell_angle_alpha 90.00
_cell_angle_beta 90.00
_cell_angle_gamma 90.00
_space_group_name_H-M_alt 'F -4 3 m'
_space_group_IT_number 216
_space_group_name_Hall 'F -4 2 3'
loop_
_atom_site_label
_atom_site_fract_x
_atom_site_fract_y
_atom_site_fract_z
Li1 0.000 0.000 0.000
Lu1 0.250 0.250 0.750
Ga1 0.250 0.250 0.250
Au1 0.000 0.000 0.500
```

* excess energy over the best structure of this formula in the dataset: 0.00 kJ/mol of atoms

2.
DFT (PBE) results for a geometry-optimized YErAg2Pb2 structure.

Geometry as CIF:
```
data_YErAg2Pb2
_chemical_formula_sum 'Y1 Er1 Ag2 Pb2'
_cell_length_a 4.7995
_cell_length_b 4.7995
_cell_length_c 7.4366
_cell_angle_alpha 90.00
_cell_angle_beta 90.00
_cell_angle_gamma 120.00
_space_group_name_H-M_alt 'P 3 m 1'
_space_group_IT_number 156
_space_group_name_Hall 'P 3 -2"'
loop_
_atom_site_label
_atom_site_fract_x
_atom_site_fract_y
_atom_site_fract_z
Y1 0.0000 0.0000 0.0000
Er1 0.0000 0.0000 0.5007
Ag1 0.3333 0.6667 0.1872
Ag2 0.6667 0.3333 0.6829
Pb1 0.3333 0.6667 0.7781
Pb2 0.6667 0.3333 0.2811
```

* VASP energy: -4.42 eV/atom

3.
DFT (PBE) results for a geometry-optimized ThTc structure.

Geometry as CIF:
```
data_ThTc
_chemical_formula_sum 'Th1 Tc1'
_cell_length_a 3.4292
_cell_length_b 3.4292
_cell_length_c 4.4546
_cell_angle_alpha 90.00
_cell_angle_beta 90.00
_cell_angle_gamma 120.00
_space_group_name_H-M_alt 'P -6 m 2'
_space_group_IT_number 187
_space_group_name_Hall 'P -6 2'
loop_
_atom_site_label
_atom_site_fract_x
_atom_site_fract_y
_atom_site_fract_z
Th1 0.0000 0.0000 0.0000
Tc1 0.3333 0.6667 0.5000
```

* ΔH_f (0 K): 398 meV/atom